Entry 1:
The following is a PBE calculation of an optimized crystal structure of TiVCN, from the Alexandria database.

Values from the calculation:
**Calculated density**: 5.46 g/cm³
**Total moment**: 0.0 μB per formula unit
**Uncorrected energy**: -9.56 eV/atom
**Raw formation energy**: -0.922 eV per atom

The structure in CIF format:
```
data_TiVCN
_chemical_formula_sum 'Ti3 V3 C3 N3'
_symmetry_space_group_name_H-M 'R 3 m'
_symmetry_Int_Tables_number 160
_symmetry_space_group_name_Hall 'R 3 -2"'
_cell_length_a 2.9354
_cell_length_b 2.9354
_cell_length_c 15.2617
_cell_angle_alpha 90.00
_cell_angle_beta 90.00
_cell_angle_gamma 120.00
loop_
_atom_site_label
_atom_site_type_symbol
_atom_site_fract_x
_atom_site_fract_y
_atom_site_fract_z
Ti1 Ti 0.0000 0.0000 0.0000
V1 V 0.0000 0.0000 0.1765
C1 C 0.0000 0.0000 0.4243
N1 N 0.0000 0.0000 0.5891
```

Entry 2:
The following is a PBE calculation of an optimized crystal structure of FeIr2W, from the Alexandria database.

Values from the calculation:
**Formation enthalpy at 0 K**: -0.95 eV/f.u.
**Calculated density**: 18.19 g/cm³
**Total moment**: 2.3 μB per formula unit
**Uncorrected energy**: -10.02 eV/atom

The structure in CIF format:
```
data_FeIr2W
_chemical_formula_sum 'Fe2 Ir4 W2'
_symmetry_space_group_name_H-M 'I 4/m m m'
_symmetry_Int_Tables_number 139
_symmetry_space_group_name_Hall '-I 4 2'
_cell_length_a 3.881
_cell_length_b 3.881
_cell_length_c 7.564
_cell_angle_alpha 90.00
_cell_angle_beta 90.00
_cell_angle_gamma 90.00
loop_
_atom_site_label
_atom_site_type_symbol
_atom_site_fract_x
_atom_site_fract_y
_atom_site_fract_z
Fe1 Fe 0.000 0.000 0.000
Ir1 Ir 0.000 0.500 0.250
W1 W 0.000 0.000 0.500
```

Entry 3:
The following is a PBE calculation of an optimized crystal structure of Ac3Ge, from the Alexandria database.

Values from the calculation:
**Formation enthalpy at 0 K**: -1.03 eV/f.u.
**Calculated density**: 8.31 g/cm³
**Total moment**: 0.0 μB per formula unit
**Uncorrected energy**: -4.49 eV/atom

The structure in CIF format:
```
data_Ac3Ge
_chemical_formula_sum 'Ac6 Ge2'
_symmetry_space_group_name_H-M 'I m m m'
_symmetry_Int_Tables_number 71
_symmetry_space_group_name_Hall '-I 2 2'
_cell_length_a 4.229
_cell_length_b 5.734
_cell_length_c 12.419
_cell_angle_alpha 90.00
_cell_angle_beta 90.00
_cell_angle_gamma 90.00
loop_
_atom_site_label
_atom_site_type_symbol
_atom_site_fract_x
_atom_site_fract_y
_atom_site_fract_z
Ac1 Ac 0.000 0.000 0.000
Ac2 Ac 0.000 0.500 0.200
Ge1 Ge 0.000 0.000 0.500
```

Entry 4:
The following is a PBE calculation of an optimized crystal structure of Dy3HoSe4, from the Alexandria database.

Values from the calculation:
**Calculated density**: 8.43 g/cm³
**Total moment**: 0.0 μB per formula unit
**Uncorrected energy**: -5.77 eV/atom
**Raw formation energy**: -1.731 eV per atom

The structure in CIF format:
```
data_Dy3HoSe4
_chemical_formula_sum 'Dy3 Ho1 Se4'
_symmetry_space_group_name_H-M 'P m -3 m'
_symmetry_Int_Tables_number 221
_symmetry_space_group_name_Hall '-P 4 2 3'
_cell_length_a 5.757
_cell_length_b 5.757
_cell_length_c 5.757
_cell_angle_alpha 90.00
_cell_angle_beta 90.00
_cell_angle_gamma 90.00
loop_
_atom_site_label
_atom_site_type_symbol
_atom_site_fract_x
_atom_site_fract_y
_atom_site_fract_z
Dy1 Dy 0.000 0.000 0.500
Ho1 Ho 0.500 0.500 0.500
Se1 Se 0.000 0.000 0.000
Se2 Se 0.000 0.500 0.500
```

Entry 5:
The following is a PBE calculation of an optimized crystal structure of ScCdSn2, from the Alexandria database.

Values from the calculation:
**Formation enthalpy at 0 K**: 0.94 eV/f.u.
**Calculated density**: 4.21 g/cm³
**Total moment**: 0.0 μB per formula unit
**Uncorrected energy**: -3.58 eV/atom

The structure in CIF format:
```
data_ScCdSn2
_chemical_formula_sum 'Sc3 Cd3 Sn6'
_symmetry_space_group_name_H-M 'R -3 m'
_symmetry_Int_Tables_number 166
_symmetry_space_group_name_Hall '-R 3 2"'
_cell_length_a 4.8482
_cell_length_b 4.8482
_cell_length_c 22.9458
_cell_angle_alpha 90.00
_cell_angle_beta 90.00
_cell_angle_gamma 120.00
loop_
_atom_site_label
_atom_site_type_symbol
_atom_site_fract_x
_atom_site_fract_y
_atom_site_fract_z
Sc1 Sc 0.0000 0.0000 0.0000
Cd1 Cd 0.0000 0.0000 0.5000
Sn1 Sn 0.0000 0.0000 0.3754
```

Entry 6:
The following is a PBE calculation of an optimized crystal structure of Pr2Ga3Hg, from the Alexandria database.

Values from the calculation:
**Formation enthalpy at 0 K**: -3.47 eV/f.u.
**Calculated density**: 7.97 g/cm³
**Total moment**: 0.0 μB per formula unit
**Uncorrected energy**: -3.73 eV/atom

The structure in CIF format:
```
data_Pr2Ga3Hg
_chemical_formula_sum 'Pr16 Ga24 Hg8'
_symmetry_space_group_name_H-M 'F m m m'
_symmetry_Int_Tables_number 69
_symmetry_space_group_name_Hall '-F 2 2'
_cell_length_a 8.145
_cell_length_b 9.026
_cell_length_c 15.677
_cell_angle_alpha 90.00
_cell_angle_beta 90.00
_cell_angle_gamma 90.00
loop_
_atom_site_label
_atom_site_type_symbol
_atom_site_fract_x
_atom_site_fract_y
_atom_site_fract_z
Pr1 Pr 0.247 0.000 0.000
Pr2 Pr 0.250 0.250 0.250
Ga1 Ga 0.000 0.000 0.339
Ga2 Ga 0.000 0.242 0.419
Hg1 Hg 0.000 0.000 0.167
```

Entry 7:
The following is a PBE calculation of an optimized crystal structure of YHo2Cu, from the Alexandria database.

Values from the calculation:
**Formation enthalpy at 0 K**: -0.31 eV/f.u.
**Calculated density**: 7.52 g/cm³
**Total moment**: 0.0 μB per formula unit
**Uncorrected energy**: -5.01 eV/atom

The structure in CIF format:
```
data_YHo2Cu
_chemical_formula_sum 'Y2 Ho4 Cu2'
_symmetry_space_group_name_H-M 'P 1 21/m 1'
_symmetry_Int_Tables_number 11
_symmetry_space_group_name_Hall '-P 2yb'
_cell_length_a 4.860
_cell_length_b 7.648
_cell_length_c 6.219
_cell_angle_alpha 90.00
_cell_angle_beta 112.89
_cell_angle_gamma 90.00
loop_
_atom_site_label
_atom_site_type_symbol
_atom_site_fract_x
_atom_site_fract_y
_atom_site_fract_z
Y1 Y 0.046 0.250 0.092
Ho1 Ho 0.352 0.035 0.703
Cu1 Cu 0.204 0.750 0.411
```

Entry 8:
The following is a PBE calculation of an optimized crystal structure of Tc2PtW, from the Alexandria database.

Values from the calculation:
**Formation enthalpy at 0 K**: 0.29 eV/f.u.
**Calculated density**: 15.54 g/cm³
**Total moment**: 0.0 μB per formula unit
**Uncorrected energy**: -9.86 eV/atom

The structure in CIF format:
```
data_Tc2PtW
_chemical_formula_sum 'Tc2 Pt1 W1'
_symmetry_space_group_name_H-M 'P 4/m m m'
_symmetry_Int_Tables_number 123
_symmetry_space_group_name_Hall '-P 4 2'
_cell_length_a 3.279
_cell_length_b 3.279
_cell_length_c 5.713
_cell_angle_alpha 90.00
_cell_angle_beta 90.00
_cell_angle_gamma 90.00
loop_
_atom_site_label
_atom_site_type_symbol
_atom_site_fract_x
_atom_site_fract_y
_atom_site_fract_z
Tc1 Tc 0.000 0.000 0.246
Pt1 Pt 0.500 0.500 0.500
W1 W 0.500 0.500 0.000
```

Entry 9:
The following is a PBE calculation of an optimized crystal structure of LuPaCr4, from the Alexandria database.

Values from the calculation:
**Formation enthalpy at 0 K**: 1.18 eV/f.u.
**Calculated density**: 10.65 g/cm³
**Total moment**: 0.0 μB per formula unit
**Uncorrected energy**: -8.55 eV/atom

The structure in CIF format:
```
data_LuPaCr4
_chemical_formula_sum 'Lu4 Pa4 Cr16'
_symmetry_space_group_name_H-M 'F -4 3 m'
_symmetry_Int_Tables_number 216
_symmetry_space_group_name_Hall 'F -4 2 3'
_cell_length_a 7.261
_cell_length_b 7.261
_cell_length_c 7.261
_cell_angle_alpha 90.00
_cell_angle_beta 90.00
_cell_angle_gamma 90.00
loop_
_atom_site_label
_atom_site_type_symbol
_atom_site_fract_x
_atom_site_fract_y
_atom_site_fract_z
Lu1 Lu 0.000 0.000 0.000
Pa1 Pa 0.250 0.250 0.750
Cr1 Cr 0.124 0.124 0.376
```

Entry 10:
The following is a PBE calculation of an optimized crystal structure of PmBRu2C, from the Alexandria database.

Values from the calculation:
**Formation enthalpy at 0 K**: -1.24 eV/f.u.
**Calculated density**: 8.76 g/cm³
**Total moment**: 0.0 μB per formula unit
**Uncorrected energy**: -8.09 eV/atom

The structure in CIF format:
```
data_PmBRu2C
_chemical_formula_sum 'Pm4 B4 Ru8 C4'
_symmetry_space_group_name_H-M 'C m c m'
_symmetry_Int_Tables_number 63
_symmetry_space_group_name_Hall '-C 2c 2'
_cell_length_a 3.633
_cell_length_b 10.800
_cell_length_c 7.151
_cell_angle_alpha 90.00
_cell_angle_beta 90.00
_cell_angle_gamma 90.00
loop_
_atom_site_label
_atom_site_type_symbol
_atom_site_fract_x
_atom_site_fract_y
_atom_site_fract_z
Pm1 Pm 0.000 0.051 0.250
B1 B 0.000 0.222 0.750
Ru1 Ru 0.000 0.329 0.067
C1 C 0.000 0.500 0.000
```